Material: ScV2F8
Method: DFT, PBE with a Hubbard U
State: optimized geometry

Output
Total magnetization, μB per cell: 5.00
E, eV/cell: -70.189
V, Å³/cell: 142.1
Space group: C2/m, No. 12

Cell: 5.0878 5.4626 5.4626 Å, 75.77 101.82 101.82°
With the nearest neighbours (Å) after each atom.
Sites, in units of the cell vectors:
1 Sc 0.0000 0.0000 0.0000  6 F 1.98-2.09
2 V 0.4589 0.6851 0.6851  7 F 2.02-2.24
3 V 0.5411 0.3149 0.3149  7 F 2.02-2.24
4 F 0.2818 0.3375 0.9532  1 Sc 2.09, 2 V 2.13-2.24
5 F 0.7182 0.0468 0.6625  1 Sc 2.09, 2 V 2.13-2.24
6 F 0.2200 0.8418 0.8418  1 Sc 1.98, 1 V 2.04
7 F 0.7800 0.1582 0.1582  1 Sc 1.98, 1 V 2.04
8 F 0.2818 0.9532 0.3375  1 Sc 2.09, 2 V 2.13-2.24
9 F 0.7182 0.6625 0.0468  1 Sc 2.09, 2 V 2.13-2.24
10 F 0.7430 0.5600 0.5600  2 V 2.02-2.10
11 F 0.2570 0.4400 0.4400  2 V 2.02-2.10